# 1
Density functional theory data (PBE) for a relaxed structure of SrAc2P3Rh12.

Cell and atoms, written as CIF:
```
data_SrAc2P3Rh12
_chemical_formula_sum 'Sr3 Ac6 P9 Rh36'
_symmetry_space_group_name_H-M 'R -3 m'
_symmetry_Int_Tables_number 166
_symmetry_space_group_name_Hall '-R 3 2"'
_cell_length_a 8.6037
_cell_length_b 8.6037
_cell_length_c 15.8044
_cell_angle_alpha 90.00
_cell_angle_beta 90.00
_cell_angle_gamma 120.00
loop_
_atom_site_label
_atom_site_fract_x
_atom_site_fract_y
_atom_site_fract_z
Sr1 0.0000 0.0000 0.0000
Ac1 0.0000 0.0000 0.3943
P1 0.0000 0.5000 0.5000
Rh1 0.0232 0.5116 0.3610
Rh2 0.0562 0.5281 0.8540
```

Output
Raw total energy in eV/atom: -6.536
Formation enthalpy at 0 K in meV per atom: -184
Density of states at the Fermi level in states/eV per atom: 0.823
Volume in Å³/f.u.: 338
Crystal system: trigonal


# 2
Density functional theory data (PBE) for a relaxed structure of AcTaP2Rh5.

Cell and atoms, written as CIF:
```
data_AcTaP2Rh5
_chemical_formula_sum 'Ac1 Ta1 P2 Rh5'
_symmetry_space_group_name_H-M 'P 4/m m m'
_symmetry_Int_Tables_number 123
_symmetry_space_group_name_Hall '-P 4 2'
_cell_length_a 4.121
_cell_length_b 4.121
_cell_length_c 10.124
_cell_angle_alpha 90.00
_cell_angle_beta 90.00
_cell_angle_gamma 90.00
loop_
_atom_site_label
_atom_site_fract_x
_atom_site_fract_y
_atom_site_fract_z
Ac1 0.000 0.000 0.000
Ta1 0.500 0.500 0.500
P1 0.500 0.500 0.224
Rh1 0.000 0.500 0.337
Rh2 0.500 0.500 0.000
```

Output
Raw total energy in eV/atom: -7.552
Formation enthalpy at 0 K in meV per atom: -492
Density of states at the Fermi level in states/eV per atom: 0.443
Volume in Å³/f.u.: 172
Crystal system: tetragonal